(1)
The following is a GGA-PBEsol calculation of a geometry-optimized CsTiTe2 structure, from Alexandria.

Results
As for the space group: C2/c (15). As for the calculated total energy: -39.27 eV for the cell shown. For the density, the calculation gives 4.58 g cm⁻³.

a b c (Å): 6.402 7.807 7.807
angles (deg): 118.08 101.70 101.70
Site moments in Bohr magnetons follow the coordinates.
Fractional coordinates of all 8 atoms:
Cs 0.250 0.856 0.144  0.00
Cs 0.750 0.144 0.856  0.00
Te 0.604 0.593 0.815  -0.05
Te 0.896 0.185 0.407  -0.05
Te 0.396 0.407 0.185  -0.05
Te 0.104 0.815 0.593  -0.05
Ti 0.250 0.498 0.502  0.89
Ti 0.750 0.502 0.498  0.89

(2)
The following is a GGA-PBEsol calculation of a geometry-optimized CsTl2Te2 structure, from Alexandria.

Results
As for the space group: P4/mbm (127). As for the calculated total energy: -30.86 eV for the cell shown. For the density, the calculation gives 7.80 g cm⁻³.

a b c (Å): 3.933 9.286 9.286
angles (deg): 90.00 90.00 90.00
Fractional coordinates of all 10 atoms:
Cs 0.000 0.000 0.000
Cs 0.000 0.500 0.500
Tl 0.000 0.377 0.877
Tl 0.000 0.877 0.623
Tl 0.000 0.623 0.123
Tl 0.000 0.123 0.377
Te 0.500 0.172 0.672
Te 0.500 0.672 0.828
Te 0.500 0.828 0.328
Te 0.500 0.328 0.172

(3)
The following is a GGA-PBEsol calculation of a geometry-optimized CsTl2Te2 structure, from Alexandria.

Results
As for the space group: I4/mmm (139). As for the calculated total energy: -15.37 eV for the cell shown. For the density, the calculation gives 7.18 g cm⁻³.

a b c (Å): 5.868 5.868 6.775
angles (deg): 115.66 115.66 90.00
Fractional coordinates of all 5 atoms:
Cs 0.000 0.000 0.000
Tl 0.356 0.356 0.712
Tl 0.644 0.644 0.288
Te 0.250 0.750 0.500
Te 0.750 0.250 0.500

(4)
The following is a GGA-PBEsol calculation of a geometry-optimized Cs3Tm11Te18 structure, from Alexandria.

Results
As for the space group: C2/m (12). As for the calculated total energy: -163.91 eV for the cell shown. For the density, the calculation gives 6.80 g cm⁻³.

a b c (Å): 4.283 13.400 19.950
angles (deg): 100.32 90.00 99.20
Fractional coordinates of all 32 atoms:
Cs 0.000 0.000 0.000
Cs 0.696 0.393 0.591
Cs 0.304 0.607 0.409
Tm 0.500 0.000 0.500
Tm 0.967 0.934 0.240
Tm 0.033 0.066 0.760
Tm 0.346 0.692 0.775
Tm 0.654 0.308 0.225
Tm 0.662 0.324 0.818
Tm 0.338 0.676 0.182
Tm 0.796 0.592 0.928
Tm 0.204 0.408 0.072
Tm 0.908 0.815 0.627
Tm 0.092 0.185 0.373
Te 0.925 0.850 0.783
Te 0.075 0.150 0.217
Te 0.495 0.990 0.651
Te 0.505 0.010 0.349
Te 0.767 0.533 0.775
Te 0.233 0.467 0.225
Te 0.919 0.838 0.483
Te 0.081 0.162 0.517
Te 0.867 0.733 0.284
Te 0.133 0.267 0.716
Te 0.562 0.123 0.863
Te 0.438 0.877 0.137
Te 0.372 0.744 0.930
Te 0.628 0.256 0.070
Te 0.209 0.417 0.922
Te 0.791 0.583 0.078
Te 0.672 0.345 0.381
Te 0.328 0.655 0.619

(5)
The following is a GGA-PBEsol calculation of a geometry-optimized CsZrUTe5 structure, from Alexandria.

Results
As for the space group: Pmma (51). As for the calculated total energy: -92.49 eV for the cell shown. For the density, the calculation gives 6.94 g cm⁻³.

a b c (Å): 6.167 8.291 10.290
angles (deg): 90.00 90.00 90.00
Site moments in Bohr magnetons follow the coordinates.
Fractional coordinates of all 16 atoms:
Cs 0.250 0.500 0.787  0.00
Cs 0.750 0.500 0.213  0.00
Zr 0.500 0.000 0.000  0.10
Zr 0.000 0.000 0.000  0.10
U 0.250 0.000 0.331  1.91
U 0.750 0.000 0.669  1.91
Te 0.250 0.744 0.121  -0.04
Te 0.750 0.744 0.879  -0.04
Te 0.750 0.256 0.879  -0.04
Te 0.250 0.256 0.121  -0.04
Te 0.500 0.753 0.500  -0.04
Te 0.000 0.753 0.500  -0.04
Te 0.500 0.247 0.500  -0.04
Te 0.000 0.247 0.500  -0.04
Te 0.250 0.000 0.762  -0.05
Te 0.750 0.000 0.238  -0.05

(6)
The following is a GGA-PBEsol calculation of a geometry-optimized Cs2TeW2 structure, from Alexandria.

Results
As for the space group: I4/mmm (139). As for the calculated total energy: -29.22 eV for the cell shown. For the density, the calculation gives 7.82 g cm⁻³.

a b c (Å): 3.574 3.574 12.897
angles (deg): 97.97 97.97 90.00
Fractional coordinates of all 5 atoms:
Cs 0.391 0.391 0.783
Cs 0.609 0.609 0.217
Te 0.000 0.000 0.000
W 0.250 0.750 0.500
W 0.750 0.250 0.500

(7)
The following is a GGA-PBEsol calculation of a geometry-optimized Cs3YTe structure, from Alexandria.

Results
As for the space group: Pm-3m (221). As for the calculated total energy: -12.38 eV for the cell shown. For the density, the calculation gives 2.74 g cm⁻³.

a b c (Å): 7.202 7.202 7.202
angles (deg): 90.00 90.00 90.00
Site moments in Bohr magnetons follow the coordinates.
Fractional coordinates of all 5 atoms:
Cs 0.000 0.500 0.000  0.01
Cs 0.000 0.000 0.500  0.01
Cs 0.500 0.000 0.000  0.01
Y 0.500 0.500 0.500  0.84
Te 0.000 0.000 0.000  0.00

(8)
The following is a GGA-PBEsol calculation of a geometry-optimized Cs2YTe structure, from Alexandria.

Results
As for the space group: Fm-3m (225). As for the calculated total energy: -11.47 eV for the cell shown. For the density, the calculation gives 4.51 g cm⁻³.

a b c (Å): 6.310 6.310 6.310
angles (deg): 60.00 60.00 60.00
Site moments in Bohr magnetons follow the coordinates.
Fractional coordinates of all 4 atoms:
Cs 0.250 0.250 0.250  0.01
Cs 0.750 0.750 0.750  0.01
Y 0.000 0.000 0.000  0.43
Te 0.500 0.500 0.500  -0.02